# 1
# Dy2CuHg, relaxed, DFT GGA-PBE
# Fermi-level density of states, states/eV/cell: 3.58
data_Dy2CuHg
_cell_length_a 3.5510
_cell_length_b 3.5510
_cell_length_c 7.4037
_cell_angle_alpha 90.00
_cell_angle_beta 90.00
_cell_angle_gamma 90.00
_symmetry_space_group_name_H-M 'P 1'
_symmetry_Int_Tables_number 1
loop_
_symmetry_equiv_pos_as_xyz
'x,y,z'
loop_
_atom_site_label
_atom_site_fract_x
_atom_site_fract_y
_atom_site_fract_z
Dy1 0.0000 0.0000 0.2275
Dy2 0.0000 0.0000 0.7725
Cu1 0.5000 0.5000 0.0000
Hg1 0.5000 0.5000 0.5000

# 2
# TmThCo4, relaxed, DFT GGA-PBE
# Fermi-level density of states, states/eV/cell: 7.99
# Energy above the most stable polymorph in this dataset, meV per atom: 60
data_TmThCo4
_cell_length_a 5.0741
_cell_length_b 5.0741
_cell_length_c 5.0741
_cell_angle_alpha 60.00
_cell_angle_beta 60.00
_cell_angle_gamma 60.00
_symmetry_space_group_name_H-M 'P 1'
_symmetry_Int_Tables_number 1
loop_
_symmetry_equiv_pos_as_xyz
'x,y,z'
loop_
_atom_site_label
_atom_site_fract_x
_atom_site_fract_y
_atom_site_fract_z
Co1 0.6255 0.6255 0.6255
Co2 0.6255 0.1234 0.6255
Co3 0.1234 0.6255 0.6255
Co4 0.6255 0.6255 0.1234
Tm1 0.0000 0.0000 0.0000
Th1 0.2500 0.2500 0.2500

# 3
# TaTc2Ir, relaxed, DFT GGA-PBE
# Fermi-level density of states, states/eV/cell: 4.00
# Energy above the most stable polymorph in this dataset, meV per atom: 76
data_TaTc2Ir
_cell_length_a 4.9001
_cell_length_b 4.9001
_cell_length_c 4.9001
_cell_angle_alpha 133.08
_cell_angle_beta 133.08
_cell_angle_gamma 68.53
_symmetry_space_group_name_H-M 'P 1'
_symmetry_Int_Tables_number 1
loop_
_symmetry_equiv_pos_as_xyz
'x,y,z'
loop_
_atom_site_label
_atom_site_fract_x
_atom_site_fract_y
_atom_site_fract_z
Ir1 0.2500 0.7500 0.5000
Tc1 0.5000 0.5000 0.0000
Tc2 0.0000 0.0000 0.0000
Ta1 0.7500 0.2500 0.5000

# 4
# Li2MnCl, relaxed, DFT GGA-PBE
# Formation energy from raw total energies, eV/atom: -0.133
# Fermi-level density of states, states/eV/cell: 2.48
# Energy above the most stable polymorph in this dataset, meV per atom: 311
data_Li2MnCl
_cell_length_a 3.7371
_cell_length_b 5.4933
_cell_length_c 3.6012
_cell_angle_alpha 90.00
_cell_angle_beta 90.00
_cell_angle_gamma 90.00
_symmetry_space_group_name_H-M 'P 1'
_symmetry_Int_Tables_number 1
loop_
_symmetry_equiv_pos_as_xyz
'x,y,z'
loop_
_atom_site_label
_atom_site_fract_x
_atom_site_fract_y
_atom_site_fract_z
Cl1 0.0000 0.5000 0.5000
Li1 0.5000 0.5000 0.0000
Li2 0.0000 0.0000 0.0000
Mn1 0.5000 0.0000 0.5000

# 5
# NaBe2O, relaxed, DFT GGA-PBE
# Formation energy from raw total energies, eV/atom: -0.379
# Fermi-level density of states, states/eV/cell: 4.05
data_NaBe2O
_cell_length_a 5.5785
_cell_length_b 5.5785
_cell_length_c 5.3159
_cell_angle_alpha 58.35
_cell_angle_beta 58.35
_cell_angle_gamma 90.00
_symmetry_space_group_name_H-M 'P 1'
_symmetry_Int_Tables_number 1
loop_
_symmetry_equiv_pos_as_xyz
'x,y,z'
loop_
_atom_site_label
_atom_site_fract_x
_atom_site_fract_y
_atom_site_fract_z
Be1 0.3295 0.1250 0.2500
Be2 0.3750 0.6705 0.7500
Be3 0.8750 0.5795 0.7500
Be4 0.4205 0.6250 0.2500
O1 0.2500 0.7500 0.5000
O2 0.5000 0.5000 0.0000
Na1 0.0000 0.0000 0.0000
Na2 0.7500 0.2500 0.5000

# 6
# InGe3Pd, relaxed, DFT GGA-PBE
# Fermi-level density of states, states/eV/cell: 4.27
data_InGe3Pd
_cell_length_a 4.9221
_cell_length_b 4.9221
_cell_length_c 4.9221
_cell_angle_alpha 90.00
_cell_angle_beta 90.00
_cell_angle_gamma 90.00
_symmetry_space_group_name_H-M 'P 1'
_symmetry_Int_Tables_number 1
loop_
_symmetry_equiv_pos_as_xyz
'x,y,z'
loop_
_atom_site_label
_atom_site_fract_x
_atom_site_fract_y
_atom_site_fract_z
Ge1 0.0000 0.0000 0.5000
Ge2 0.5000 0.0000 0.0000
Ge3 0.0000 0.5000 0.0000
Pd1 0.0000 0.0000 0.0000
In1 0.5000 0.5000 0.5000

# 7
# W4ICl7, relaxed, DFT GGA-PBE
# Formation energy from raw total energies, eV/atom: -0.350
# Fermi-level density of states, states/eV/cell: 2.28
data_W4ICl7
_cell_length_a 8.9535
_cell_length_b 9.7200
_cell_length_c 15.3809
_cell_angle_alpha 77.72
_cell_angle_beta 85.63
_cell_angle_gamma 142.51
_symmetry_space_group_name_H-M 'P 1'
_symmetry_Int_Tables_number 1
loop_
_symmetry_equiv_pos_as_xyz
'x,y,z'
loop_
_atom_site_label
_atom_site_fract_x
_atom_site_fract_y
_atom_site_fract_z
Cl1 0.9283 0.5647 0.1493
Cl2 0.5568 0.3255 0.3872
Cl3 0.0974 0.9057 0.3276
Cl4 0.1158 0.2385 0.4940
Cl5 0.4995 0.4238 0.8486
Cl6 0.3652 0.1676 0.1034
Cl7 0.4683 0.1824 0.6218
Cl8 0.5944 0.8178 0.7200
Cl9 0.0575 0.6772 0.8515
Cl10 0.8098 0.7677 0.9867
Cl11 0.7525 0.9352 0.3324
Cl12 0.2651 0.5472 0.2607
Cl13 0.8440 0.7152 0.6174
Cl14 0.9529 0.2108 0.8152
W1 0.0016 0.8209 0.7427
W2 0.3393 0.2703 0.7104
W3 0.9643 0.9610 0.2093
W4 0.5208 0.3490 0.2285
W5 0.7957 0.8554 0.8279
W6 0.0712 0.2342 0.6542
W7 0.4875 0.5144 0.3223
W8 0.5811 0.6628 0.1470
I1 0.9717 0.2030 0.0712
I2 0.2690 0.6497 0.5706

# 8
# CaY2AlO, relaxed, DFT GGA-PBE
# Formation energy from raw total energies, eV/atom: -1.338
# Fermi-level density of states, states/eV/cell: 1.82
data_CaY2AlO
_cell_length_a 4.7709
_cell_length_b 4.7709
_cell_length_c 4.7429
_cell_angle_alpha 90.00
_cell_angle_beta 90.00
_cell_angle_gamma 90.00
_symmetry_space_group_name_H-M 'P 1'
_symmetry_Int_Tables_number 1
loop_
_symmetry_equiv_pos_as_xyz
'x,y,z'
loop_
_atom_site_label
_atom_site_fract_x
_atom_site_fract_y
_atom_site_fract_z
Al1 0.5000 0.5000 0.5000
Ca1 0.0000 0.0000 0.5000
Y1 0.5000 0.0000 0.0000
Y2 0.0000 0.5000 0.0000
O1 0.0000 0.0000 0.0000

Number 1: E_tot -3.76 eV/atom. Number 2: E_tot -6.94 eV/atom. Number 3: E_tot -10.55 eV/atom. Number 4: E_tot -3.84 eV/atom. Number 5: E_tot -3.81 eV/atom. Number 6: E_tot -4.11 eV/atom. Number 7: E_tot -5.87 eV/atom. Number 8: E_tot -6.06 eV/atom.